Below is CuNiAs6 after structural relaxation, with properties calculated at the PBE-GGA level.

Cell lengths 7.362, 7.362, 8.541 Å; angles 125.03, 125.03, 70.59 degrees
Fractional positions:
Cu 0.000 0.500 0.000
Cu 0.500 0.000 0.000
Ni 0.000 0.500 0.500
Ni 0.500 0.000 0.500
As 0.000 0.297 0.642
As 0.000 0.703 0.358
As 0.142 0.845 0.846
As 0.155 0.858 0.154
As 0.297 0.000 0.642
As 0.351 0.351 0.504
As 0.353 0.353 0.209
As 0.647 0.647 0.791
As 0.649 0.649 0.496
As 0.703 0.000 0.358
As 0.845 0.142 0.846
As 0.858 0.155 0.154

For the calculated density, the calculation gives 6.1 g/cm3. The formation energy from the elements comes out at -0.07 eV per atom. For the total magnetization, the calculation gives 0.00 μB per atom. As for the density of states at the Fermi level: 3.73 states/eV/f.u.



Below is CuNiAs after structural relaxation, with properties calculated at the PBE-GGA level.

Cell lengths 4.437, 4.437, 4.437 Å; angles 139.54, 135.55, 61.67 degrees
Fractional positions:
Cu 0.000 0.000 0.000
Ni 0.667 0.667 0.000
As 0.320 0.320 0.000

For the calculated density, the calculation gives 8.3 g/cm3. The formation energy from the elements comes out at -0.03 eV per atom. For the total magnetization, the calculation gives 0.00 μB per atom. As for the density of states at the Fermi level: 1.28 states/eV/f.u.



Below is Cu2NiAs2 after structural relaxation, with properties calculated at the PBE-GGA level.

Cell lengths 11.099, 11.099, 11.099 Å; angles 160.80, 160.80, 27.28 degrees
Fractional positions:
Cu 0.042 0.292 0.750
Cu 0.292 0.042 0.250
Cu 0.708 0.958 0.750
Cu 0.958 0.708 0.250
Ni 0.375 0.625 0.750
Ni 0.625 0.375 0.250
As 0.190 0.440 0.750
As 0.440 0.190 0.250
As 0.560 0.810 0.750
As 0.810 0.560 0.250

The excess energy over the best structure of this formula in the dataset is 0.000 eV per atom. For the calculated density, the calculation gives 7.5 g/cm3. The formation energy from the elements comes out at 0.00 eV per atom. For the total magnetization, the calculation gives 0.00 μB per atom. As for the density of states at the Fermi level: 2.32 states/eV/f.u.



| no. | calculated total energy (eV per atom) |
| --- | --- |
| 1 | -4.7933 |
| 2 | -4.8707 |
| 3 | -4.6546 |